First-principles (GGA-PBE) data for a relaxed RePPtC2 crystal, as listed in the Alexandria database.

a b c (Å): 3.623 3.623 4.995
angles (deg): 90.00 90.00 90.00
Space group P4/mmm (No. 123)
Inequivalent atoms, fractional coordinates:
Re 0.000 0.000 0.000 (multiplicity 1)
P 0.000 0.000 0.500 (multiplicity 1)
Pt 0.500 0.500 0.000 (multiplicity 1)
C 0.000 0.500 0.500 (multiplicity 2)

Total magnetic moment ... 0.0 μB per cell
DOS at the Fermi energy ... 4.614 states/eV/cell
Formation energy from the elements ... 1.99 eV/atom

***

First-principles (GGA-PBE) data for a relaxed Pr4CoTeBr2 crystal, as listed in the Alexandria database.

a b c (Å): 7.848 4.124 7.983
angles (deg): 90.00 107.48 90.00
Space group P2/m (No. 10)
Inequivalent atoms, fractional coordinates:
Pr 0.197 0.000 0.198 (multiplicity 2)
Pr 0.221 0.500 0.780 (multiplicity 2)
Co 0.000 0.500 0.000 (multiplicity 1)
Te 0.000 0.000 0.500 (multiplicity 1)
Br 0.500 0.000 0.000 (multiplicity 1)
Br 0.500 0.500 0.500 (multiplicity 1)

Total magnetic moment ... 0.0 μB per cell
DOS at the Fermi energy ... 5.752 states/eV/cell
E_form (uncorrected) ... -0.993 eV/atom

***

First-principles (GGA-PBE) data for a relaxed AcPm6Dy crystal, as listed in the Alexandria database.

a b c (Å): 5.200 5.200 10.397
angles (deg): 90.00 90.00 90.00
Space group P4/mmm (No. 123)
Inequivalent atoms, fractional coordinates:
Ac 0.000 0.000 0.000 (multiplicity 1)
Pm 0.000 0.500 0.258 (multiplicity 4)
Pm 0.500 0.500 0.000 (multiplicity 1)
Pm 0.500 0.500 0.500 (multiplicity 1)
Dy 0.000 0.000 0.500 (multiplicity 1)

Total magnetic moment ... 0.0 μB per cell
DOS at the Fermi energy ... 13.141 states/eV/cell
Polymorph energy (0 for the lowest one) ... 0.000 eV per atom
Formation energy from the elements ... 0.03 eV/atom

***

First-principles (GGA-PBE) data for a relaxed LuZn4Bi crystal, as listed in the Alexandria database.

a b c (Å): 7.795 7.795 7.795
angles (deg): 90.00 90.00 90.00
Space group F-43m (No. 216)
Inequivalent atoms, fractional coordinates:
Lu 0.000 0.000 0.000 (multiplicity 4)
Zn 0.127 0.127 0.373 (multiplicity 16)
Bi 0.250 0.250 0.750 (multiplicity 4)

Total magnetic moment ... 0.0 μB per cell
DOS at the Fermi energy ... 16.104 states/eV/cell
Formation energy from the elements ... -0.08 eV/atom